1.
A plane-wave DFT calculation with PBE was carried out for a relaxed Tm2MgTcC crystal.

Magnetization ... 0.0 μB/f.u.
N(E_F) ... 0.4714 states/eV/atom
Electronic total energy ... -6.28 eV/atom
Space-group type ... P4/mmm, No. 123

a = 4.9116 Å, b = 4.9116 Å, c = 4.0165 Å
α = 90.00°, β = 90.00°, γ = 90.00°
Element x y z (fractional)
Tm (0.0000, 0.5000, 0.0000)
Tm (0.5000, 0.0000, 0.0000)
Mg (0.0000, 0.0000, 0.5000)
Tc (0.5000, 0.5000, 0.5000)
C (0.5000, 0.5000, 0.0000)

=====

2.
A plane-wave DFT calculation with PBE was carried out for a relaxed MgTcWC2 crystal.

Magnetization ... 0.0 μB/f.u.
N(E_F) ... 1.0026 states/eV/atom
Electronic total energy ... -7.00 eV/atom
Space-group type ... P4/mmm, No. 123

a = 4.0899 Å, b = 4.0899 Å, c = 4.9531 Å
α = 90.00°, β = 90.00°, γ = 90.00°
Element x y z (fractional)
Mg (0.0000, 0.0000, 0.0000)
Tc (0.5000, 0.5000, 0.0000)
W (0.5000, 0.5000, 0.5000)
C (0.0000, 0.5000, 0.5000)
C (0.5000, 0.0000, 0.5000)

=====

3.
A plane-wave DFT calculation with PBE was carried out for a relaxed MgZr2TcC crystal.

Magnetization ... 0.0 μB/f.u.
N(E_F) ... 0.5814 states/eV/atom
Electronic total energy ... -7.93 eV/atom
Space-group type ... P4/mmm, No. 123

a = 4.6655 Å, b = 4.6655 Å, c = 3.9947 Å
α = 90.00°, β = 90.00°, γ = 90.00°
Element x y z (fractional)
Mg (0.0000, 0.0000, 0.0000)
Zr (0.0000, 0.5000, 0.5000)
Zr (0.5000, 0.0000, 0.5000)
Tc (0.5000, 0.5000, 0.0000)
C (0.5000, 0.5000, 0.5000)

=====

4.
A plane-wave DFT calculation with PBE was carried out for a relaxed MgTeC3 crystal.

Magnetization ... 0.0 μB/f.u.
Distance to the lowest polymorph of the same formula ... 1.36 eV per formula unit
N(E_F) ... 0.8535 states/eV/atom
Electronic total energy ... -3.60 eV/atom
Space-group type ... Pm-3m, No. 221
Energy relative to the elements, uncorrected ... 2.881 eV per atom

a = 4.1888 Å, b = 4.1888 Å, c = 4.1888 Å
α = 90.00°, β = 90.00°, γ = 90.00°
Element x y z (fractional)
Mg (0.0000, 0.0000, 0.0000)
Te (0.5000, 0.5000, 0.5000)
C (0.0000, 0.0000, 0.5000)
C (0.0000, 0.5000, 0.0000)
C (0.5000, 0.0000, 0.0000)

=====

5.
A plane-wave DFT calculation with PBE was carried out for a relaxed MgTe2C crystal.

Magnetization ... 0.0 μB/f.u.
Distance to the lowest polymorph of the same formula ... 0.00 eV per formula unit
N(E_F) ... 0.0065 states/eV/atom
Electronic total energy ... -3.60 eV/atom
Space-group type ... I-42d, No. 122
Energy relative to the elements, uncorrected ... 0.673 eV per atom

a = 7.4396 Å, b = 7.4396 Å, c = 7.4396 Å
α = 133.18°, β = 133.18°, γ = 68.38°
Element x y z (fractional)
Mg (0.0000, 0.0000, 0.0000)
Mg (0.7500, 0.2500, 0.5000)
Te (0.1915, 0.6250, 0.0665)
Te (0.3750, 0.4415, 0.5665)
Te (0.5585, 0.1250, 0.9335)
Te (0.8750, 0.8085, 0.4335)
C (0.2500, 0.7500, 0.5000)
C (0.5000, 0.5000, 0.0000)

=====

6.
A plane-wave DFT calculation with PBE was carried out for a relaxed MgTeC3 crystal.

Magnetization ... 0.0 μB/f.u.
Distance to the lowest polymorph of the same formula ... 0.00 eV per formula unit
N(E_F) ... 0.8668 states/eV/atom
Electronic total energy ... -3.87 eV/atom
Space-group type ... Pm-3m, No. 221
Energy relative to the elements, uncorrected ... 2.609 eV per atom

a = 4.2060 Å, b = 4.2060 Å, c = 4.2060 Å
α = 90.00°, β = 90.00°, γ = 90.00°
Element x y z (fractional)
Mg (0.0000, 0.0000, 0.0000)
Te (0.5000, 0.5000, 0.5000)
C (0.0000, 0.5000, 0.5000)
C (0.5000, 0.0000, 0.5000)
C (0.5000, 0.5000, 0.0000)

=====

- electronic total energy of number 2 (MgTcWC2)?
  -7.00 eV/atom

=====

Copy entry 5 word for word.
A plane-wave DFT calculation with PBE was carried out for a relaxed MgTe2C crystal.

Magnetization ... 0.0 μB/f.u.
Distance to the lowest polymorph of the same formula ... 0.00 eV per formula unit
N(E_F) ... 0.0065 states/eV/atom
Electronic total energy ... -3.60 eV/atom
Space-group type ... I-42d, No. 122
Energy relative to the elements, uncorrected ... 0.673 eV per atom

a = 7.4396 Å, b = 7.4396 Å, c = 7.4396 Å
α = 133.18°, β = 133.18°, γ = 68.38°
Element x y z (fractional)
Mg (0.0000, 0.0000, 0.0000)
Mg (0.7500, 0.2500, 0.5000)
Te (0.1915, 0.6250, 0.0665)
Te (0.3750, 0.4415, 0.5665)
Te (0.5585, 0.1250, 0.9335)
Te (0.8750, 0.8085, 0.4335)
C (0.2500, 0.7500, 0.5000)
C (0.5000, 0.5000, 0.0000)